[1]
This record from Alexandria describes PmTh2S6 after structural relaxation. The functional is PBE-GGA.

Cell: 6.4998 6.4998 12.8227 Å, 90.00 90.00 90.00°
Positions (direct):
Pm1 0.0000 0.0000 0.0000
Pm2 0.5000 0.5000 0.5000
Th1 0.0000 0.0000 0.3328
Th2 0.0000 0.0000 0.6672
Th3 0.5000 0.5000 0.1672
Th4 0.5000 0.5000 0.8328
S1 0.1926 0.1926 0.5000
S2 0.1973 0.1973 0.1681
S3 0.1973 0.1973 0.8319
S4 0.3027 0.6973 0.3319
S5 0.3027 0.6973 0.6681
S6 0.3074 0.6926 0.0000
S7 0.6926 0.3074 0.0000
S8 0.6973 0.3027 0.3319
S9 0.6973 0.3027 0.6681
S10 0.8027 0.8027 0.1681
S11 0.8027 0.8027 0.8319
S12 0.8074 0.8074 0.5000

- raw formation energy (eV/f.u.) = -15.122
- space group = P4_2/mnm


[2]
This record from Alexandria describes PmThS2 after structural relaxation. The functional is PBE-GGA.

Cell: 3.9481 3.9481 13.8724 Å, 90.00 90.00 120.00°
Positions (direct):
Pm1 0.0000 0.0000 0.0000
Pm2 0.0000 0.0000 0.5000
Th1 0.3333 0.6667 0.2500
Th2 0.6667 0.3333 0.7500
S1 0.3333 0.6667 0.6224
S2 0.3333 0.6667 0.8776
S3 0.6667 0.3333 0.1224
S4 0.6667 0.3333 0.3776

- raw formation energy (eV/f.u.) = -7.575
- space group = P6_3/mmc
- energy above the most stable polymorph in this dataset (meV/atom) = 34


[3]
This record from Alexandria describes PmTh2S3 after structural relaxation. The functional is PBE-GGA.

Cell: 5.7136 12.2088 8.0113 Å, 90.00 90.01 90.00°
Positions (direct):
Pm1 0.2496 0.0819 0.1263
Pm2 0.2496 0.4181 0.6263
Pm3 0.7504 0.5819 0.3737
Pm4 0.7504 0.9181 0.8737
Th1 0.2496 0.0831 0.6236
Th2 0.2496 0.4169 0.1236
Th3 0.2509 0.7503 0.1245
Th4 0.2509 0.7497 0.6245
Th5 0.7491 0.2503 0.3755
Th6 0.7491 0.2497 0.8755
Th7 0.7504 0.5831 0.8764
Th8 0.7504 0.9169 0.3764
S1 0.2490 0.2490 0.8749
S2 0.2490 0.2510 0.3749
S3 0.2504 0.5827 0.3751
S4 0.2505 0.5832 0.8739
S5 0.2505 0.9168 0.3739
S6 0.2504 0.9173 0.8751
S7 0.7496 0.0827 0.1249
S8 0.7495 0.0832 0.6261
S9 0.7495 0.4168 0.1261
S10 0.7496 0.4173 0.6249
S11 0.7510 0.7490 0.6251
S12 0.7510 0.7510 0.1251

- raw formation energy (eV/f.u.) = -11.399
- space group = P2_1/c


[4]
This record from Alexandria describes PmThS2 after structural relaxation. The functional is PBE-GGA.

Cell: 3.8940 3.8940 21.6218 Å, 90.00 90.00 120.00°
Positions (direct):
Pm1 0.0000 0.0000 0.0000
Pm2 0.3333 0.6667 0.6667
Pm3 0.6667 0.3333 0.3333
Th1 0.0000 0.0000 0.1756
Th2 0.3333 0.6667 0.8422
Th3 0.6667 0.3333 0.5089
S1 0.0000 0.0000 0.5899
S2 0.0000 0.0000 0.7550
S3 0.3333 0.6667 0.2566
S4 0.3333 0.6667 0.4217
S5 0.6667 0.3333 0.0884
S6 0.6667 0.3333 0.9233

- raw formation energy (eV/f.u.) = -7.293
- space group = R3m
- energy above the most stable polymorph in this dataset (meV/atom) = 105